Entry from OQMD via LeMat-Bulk: GdLuSc2In2 after structural relaxation (GGA-PBE).

Calculated values
Calculated density: 7.2 g/cm3
Energy: -4.918 eV per atom

Unit cell a=5.165 b=5.165 c=6.551 alpha=90.00 beta=90.00 gamma=120.00
Atoms (fractional coordinates):
Gd  0.000  0.000  0.000
Lu  0.000  0.000  0.500
Sc  0.333  0.667  0.744
Sc  0.667  0.333  0.256
In  0.333  0.667  0.254
In  0.667  0.333  0.746